Entry 1:
Material: V2GaOs
Method: DFT, PBE
State: relaxed

spin magnetization = 0.00 μB per formula unit
DFT formation energy = -0.172 eV per atom

Unit cell a=3.780 b=3.780 c=3.873 alpha=90.00 beta=90.00 gamma=90.00
Space group P4/mmm (No. 123)
One atom of each set of equivalent atoms:
V 0.000 0.500 0.000 (multiplicity 2)
Ga 0.000 0.000 0.500 (multiplicity 1)
Os 0.500 0.500 0.500 (multiplicity 1)


Entry 2:
Material: KTlBO4
Method: DFT, PBE
State: relaxed

spin magnetization = 1.01 μB per formula unit
formation energy (no corrections) = -9.04 eV per formula unit

Unit cell a=6.724 b=9.979 c=6.210 alpha=90.00 beta=90.00 gamma=90.00
Space group Cmcm (No. 63)
One atom of each set of equivalent atoms:
K 0.000 0.000 0.000 (multiplicity 4)
Tl 0.000 0.359 0.250 (multiplicity 4)
B 0.000 0.361 0.750 (multiplicity 4)
O 0.000 0.268 0.562 (multiplicity 8)
O 0.178 0.448 0.750 (multiplicity 8)


Entry 3:
Material: LaTb2Dy8
Method: DFT, PBE
State: relaxed

spin magnetization = 0.00 μB per formula unit
energy relative to the lowest polymorph listed for this composition = 38 meV/atom
DFT formation energy = 0.157 eV per atom

Unit cell a=18.246 b=7.151 c=5.958 alpha=90.00 beta=108.65 gamma=90.00
Space group C2/m (No. 12)
One atom of each set of equivalent atoms:
La 0.000 0.000 0.000 (multiplicity 2)
Tb 0.189 0.500 0.186 (multiplicity 4)
Dy 0.003 0.500 0.244 (multiplicity 4)
Dy 0.132 0.231 0.637 (multiplicity 8)
Dy 0.200 0.000 0.206 (multiplicity 4)


Entry 4:
Material: Tb2HoTc
Method: DFT, PBE
State: relaxed

spin magnetization = 0.00 μB per formula unit
energy relative to the lowest polymorph listed for this composition = 1 meV/atom
DFT formation energy = -0.094 eV per atom

Unit cell a=3.909 b=11.893 c=9.193 alpha=90.00 beta=90.00 gamma=90.00
Space group Cmcm (No. 63)
One atom of each set of equivalent atoms:
Tb 0.000 0.143 0.067 (multiplicity 8)
Ho 0.000 0.427 0.250 (multiplicity 4)
Tc 0.000 0.239 0.750 (multiplicity 4)


Entry 5:
Material: InSn5Se6
Method: DFT, PBE
State: relaxed

spin magnetization = 0.00 μB per formula unit
formation energy (no corrections) = -5.07 eV per formula unit

Unit cell a=7.399 b=12.855 c=7.362 alpha=90.00 beta=109.65 gamma=90.00
Space group C2/m (No. 12)
One atom of each set of equivalent atoms:
In 0.000 0.000 0.000 (multiplicity 2)
Sn 0.000 0.169 0.500 (multiplicity 4)
Sn 0.000 0.335 0.000 (multiplicity 4)
Sn 0.000 0.500 0.500 (multiplicity 2)
Se 0.249 0.333 0.749 (multiplicity 8)
Se 0.249 0.500 0.249 (multiplicity 4)


Entry 6:
Material: Te2MoPb4
Method: DFT, PBE
State: relaxed

spin magnetization = 0.00 μB per formula unit
formation energy (no corrections) = 1.89 eV per formula unit

Unit cell a=5.383 b=5.383 c=16.773 alpha=90.00 beta=90.00 gamma=90.00
Space group I4/mmm (No. 139)
One atom of each set of equivalent atoms:
Te 0.000 0.000 0.173 (multiplicity 4)
Mo 0.000 0.000 0.500 (multiplicity 2)
Pb 0.000 0.000 0.340 (multiplicity 4)
Pb 0.000 0.500 0.000 (multiplicity 4)


Entry 7:
Material: LaDyTe
Method: DFT, PBE
State: relaxed

spin magnetization = 0.63 μB per formula unit
formation energy (no corrections) = -1.74 eV per formula unit
energy relative to the lowest polymorph listed for this composition = 121 meV/atom

Unit cell a=5.2556 b=5.2556 c=4.0245 alpha=90.00 beta=90.00 gamma=120.00
Space group P3m1 (No. 156)
One atom of each set of equivalent atoms:
La 0.0000 0.0000 0.0000 (multiplicity 1)
Dy 0.3333 0.6667 0.5019 (multiplicity 1)
Te 0.6667 0.3333 0.5330 (multiplicity 1)


Entry 8:
Material: SrVPS2
Method: DFT, PBE
State: relaxed

spin magnetization = 0.00 μB per formula unit
formation energy (no corrections) = -4.31 eV per formula unit
energy relative to the lowest polymorph listed for this composition = 0 meV/atom

Unit cell a=4.739 b=4.739 c=4.573 alpha=90.00 beta=90.00 gamma=90.00
Space group P4/mmm (No. 123)
One atom of each set of equivalent atoms:
Sr 0.000 0.000 0.000 (multiplicity 1)
V 0.500 0.500 0.500 (multiplicity 1)
P 0.500 0.500 0.000 (multiplicity 1)
S 0.000 0.500 0.500 (multiplicity 2)


What did the seventh record say?
Material: LaDyTe
Method: DFT, PBE
State: relaxed

spin magnetization = 0.63 μB per formula unit
formation energy (no corrections) = -1.74 eV per formula unit
energy relative to the lowest polymorph listed for this composition = 121 meV/atom

Unit cell a=5.2556 b=5.2556 c=4.0245 alpha=90.00 beta=90.00 gamma=120.00
Space group P3m1 (No. 156)
One atom of each set of equivalent atoms:
La 0.0000 0.0000 0.0000 (multiplicity 1)
Dy 0.3333 0.6667 0.5019 (multiplicity 1)
Te 0.6667 0.3333 0.5330 (multiplicity 1)


> Which formula does entry 8 have?

SrVPS2